DFT (PBE-GGA) results for crystalline Fe3NiGe at its relaxed geometry.

Cell and atoms, written as CIF:
```
data_Fe3NiGe
_chemical_formula_sum 'Fe3 Ni1 Ge1'
_cell_length_a 4.388
_cell_length_b 4.388
_cell_length_c 4.388
_cell_angle_alpha 90.00
_cell_angle_beta 90.00
_cell_angle_gamma 90.00
_symmetry_space_group_name_H-M 'P m -3 m'
_symmetry_Int_Tables_number 221
_symmetry_space_group_name_Hall '-P 4 2 3'
loop_
_atom_site_label
_atom_site_fract_x
_atom_site_fract_y
_atom_site_fract_z
Fe1 0.000 0.000 0.500
Ni1 0.000 0.000 0.000
Ge1 0.500 0.500 0.500
```

Relative energy among the computed polymorphs: 0.799 eV per atom
E_form: 0.87 eV per atom
Magnetization: 9.7 μB/f.u.
Final energy: -31.43 eV/f.u.



DFT (PBE-GGA) results for crystalline FeNi5Ge at its relaxed geometry.

Cell and atoms, written as CIF:
```
data_FeNi5Ge
_chemical_formula_sum 'Fe4 Ni20 Ge4'
_cell_length_a 8.296
_cell_length_b 9.090
_cell_length_c 4.658
_cell_angle_alpha 90.00
_cell_angle_beta 108.20
_cell_angle_gamma 90.00
_symmetry_space_group_name_H-M 'C 1 2/c 1'
_symmetry_Int_Tables_number 15
_symmetry_space_group_name_Hall '-C 2yc'
loop_
_atom_site_label
_atom_site_fract_x
_atom_site_fract_y
_atom_site_fract_z
Fe1 0.000 0.000 0.000
Ni1 0.000 0.251 0.250
Ni2 0.159 0.186 0.804
Ni3 0.237 0.422 0.592
Ge1 0.000 0.413 0.750
```

Relative energy among the computed polymorphs: 0.000 eV per atom
E_form: 0.01 eV per atom
Magnetization: 4.3 μB/f.u.
Final energy: -41.93 eV/f.u.